Entry 1:
{"formula": "Dy5Si2C", "functional": "PBE-GGA", "state": "relaxed", "lattice_angstrom": [[-2.960, -2.621, -3.863], [-2.080, -0.956, 6.197], [-7.792, 10.310, -1.025]], "species": ["Dy", "Dy", "Dy", "Dy", "Dy", "Dy", "Dy", "Dy", "Dy", "Dy", "Si", "Si", "Si", "Si", "C", "C"], "fractional_positions": [[0.945, 0.889, 0.877], [0.945, 0.889, 0.623], [0.337, 0.675, 0.394], [0.337, 0.675, 0.106], [0.701, 0.403, 0.250], [0.299, 0.597, 0.750], [0.663, 0.325, 0.606], [0.663, 0.325, 0.894], [0.055, 0.111, 0.123], [0.055, 0.111, 0.377], [0.825, 0.650, 0.434], [0.825, 0.650, 0.066], [0.175, 0.350, 0.566], [0.175, 0.350, 0.934], [0.799, 0.598, 0.750], [0.201, 0.402, 0.250]], "formation_energy_uncorrected_ev_per_atom": -0.226, "e_tot_ev_per_cell": -89.8, "mass_density_g_cm3": 6.80}


Entry 2:
{"formula": "MgNb5Rh6", "functional": "PBE-GGA", "state": "relaxed", "lattice_angstrom": [[-3.001, -1.461, 3.496], [4.512, -1.072, 3.425], [-2.040, 5.590, 4.437]], "species": ["Mg", "Rh", "Rh", "Rh", "Rh", "Rh", "Rh", "Nb", "Nb", "Nb", "Nb", "Nb"], "fractional_positions": [[0.000, 0.000, 0.000], [0.915, 0.751, 0.327], [0.915, 0.249, 0.327], [0.500, 0.252, 0.000], [0.500, 0.748, 0.000], [0.085, 0.751, 0.673], [0.085, 0.249, 0.673], [0.609, 0.500, 0.654], [0.403, 0.000, 0.335], [0.000, 0.500, 0.000], [0.597, 0.000, 0.665], [0.391, 0.500, 0.346]], "formation_energy_kj_per_mol_fu": -475, "e_tot_ev_per_cell": -101.0, "mass_density_g_cm3": 9.58}


Entry 3:
{"formula": "Ti2VReH", "functional": "PBE-GGA", "state": "relaxed", "lattice_angstrom": [[4.318, 0.000, 0.000], [0.000, 4.318, 0.000], [0.000, 0.000, 3.353]], "species": ["Re", "Ti", "Ti", "H", "V"], "fractional_positions": [[0.500, 0.500, 0.500], [0.000, 0.500, 0.000], [0.500, 0.000, 0.000], [0.000, 0.000, 0.000], [0.000, 0.000, 0.500]], "e_tot_ev_per_cell": -41.8, "mass_density_g_cm3": 8.87}


Repeat the second record exactly.
{"formula": "MgNb5Rh6", "functional": "PBE-GGA", "state": "relaxed", "lattice_angstrom": [[-3.001, -1.461, 3.496], [4.512, -1.072, 3.425], [-2.040, 5.590, 4.437]], "species": ["Mg", "Rh", "Rh", "Rh", "Rh", "Rh", "Rh", "Nb", "Nb", "Nb", "Nb", "Nb"], "fractional_positions": [[0.000, 0.000, 0.000], [0.915, 0.751, 0.327], [0.915, 0.249, 0.327], [0.500, 0.252, 0.000], [0.500, 0.748, 0.000], [0.085, 0.751, 0.673], [0.085, 0.249, 0.673], [0.609, 0.500, 0.654], [0.403, 0.000, 0.335], [0.000, 0.500, 0.000], [0.597, 0.000, 0.665], [0.391, 0.500, 0.346]], "formation_energy_kj_per_mol_fu": -475, "e_tot_ev_per_cell": -101.0, "mass_density_g_cm3": 9.58}